(1)
Here is a relaxed structure of NiSnMoOs from OQMD. Energies are from PBE.

* crystal system: cubic
* raw total energy: -7.63 eV/atom
* magnetic moment: 0.00 μB/f.u.
* density: 12.56 Mg/m³

a b c (Å): 6.259 6.259 6.259
angles (deg): 90.00 90.00 90.00
Space group F-43m (No. 216)
Symmetry-distinct sites (fractional):
Ni 0.000 0.000 0.000 x4
Sn 0.250 0.250 0.750 x4
Mo 0.000 0.000 0.500 x4
Os 0.250 0.250 0.250 x4

---

(2)
Here is a relaxed structure of ZnNiMoOs from OQMD. Energies are from PBE.

* crystal system: cubic
* ΔH_f (0 K): 205 meV/atom
* magnetic moment: 0.98 μB/f.u.
* density: 12.27 Mg/m³

a b c (Å): 6.057 6.057 6.057
angles (deg): 90.00 90.00 90.00
Space group F-43m (No. 216)
Symmetry-distinct sites (fractional):
Zn 0.000 0.000 0.000 x4
Ni 0.250 0.250 0.250 x4
Mo 0.250 0.250 0.750 x4
Os 0.000 0.000 0.500 x4

---

(3)
Here is a relaxed structure of Ni6Mo2P3 from OQMD. Energies are from PBE.

* crystal system: orthorhombic
* raw total energy: -6.96 eV/atom
* magnetic moment: 0.01 μB/f.u.
* density: 8.18 Mg/m³

a b c (Å): 3.530 12.884 5.686
angles (deg): 90.00 90.00 90.00
Space group Pmmn (No. 59, origin choice 2)
Symmetry-distinct sites (fractional):
Ni 0.250 0.040 0.137 x4
Ni 0.250 0.250 0.230 x2
Ni 0.250 0.651 0.048 x4
Ni 0.250 0.750 0.438 x2
Mo 0.250 0.082 0.617 x4
P 0.250 0.250 0.827 x2
P 0.250 0.612 0.675 x4

---

(4)
Here is a relaxed structure of Ni2MoP4W from OQMD. Energies are from PBE.

* crystal system: hexagonal
* raw total energy: -7.59 eV/atom
* magnetic moment: 0.00 μB/f.u.
* density: 8.00 Mg/m³

a b c (Å): 3.3369 3.3369 11.2209
angles (deg): 90.00 90.00 120.00
Space group P-6m2 (No. 187)
Symmetry-distinct sites (fractional):
Ni 0.0000 0.0000 0.2499 x2
Mo 0.0000 0.0000 0.0000 x1
P 0.3333 0.6667 0.1371 x2
P 0.6667 0.3333 0.3626 x2
W 0.0000 0.0000 0.5000 x1

---

(5)
Here is a relaxed structure of NiMoPdPb from OQMD. Energies are from PBE.

* crystal system: cubic
* raw total energy: -5.93 eV/atom
* magnetic moment: 0.98 μB/f.u.
* density: 11.76 Mg/m³

a b c (Å): 6.419 6.419 6.419
angles (deg): 90.00 90.00 90.00
Space group F-43m (No. 216)
Symmetry-distinct sites (fractional):
Ni 0.000 0.000 0.000 x4
Mo 0.000 0.000 0.500 x4
Pd 0.250 0.250 0.250 x4
Pb 0.250 0.250 0.750 x4

---

(6)
Here is a relaxed structure of NiMoPdPb from OQMD. Energies are from PBE.

* crystal system: cubic
* raw total energy: -5.94 eV/atom
* magnetic moment: 1.72 μB/f.u.
* density: 11.67 Mg/m³

a b c (Å): 6.435 6.435 6.435
angles (deg): 90.00 90.00 90.00
Space group F-43m (No. 216)
Symmetry-distinct sites (fractional):
Ni 0.000 0.000 0.000 x4
Mo 0.250 0.250 0.250 x4
Pd 0.000 0.000 0.500 x4
Pb 0.250 0.250 0.750 x4

---

(7)
Here is a relaxed structure of NiMoPtPb from OQMD. Energies are from PBE.

* crystal system: cubic
* raw total energy: -6.15 eV/atom
* magnetic moment: 1.71 μB/f.u.
* density: 13.70 Mg/m³

a b c (Å): 6.463 6.463 6.463
angles (deg): 90.00 90.00 90.00
Space group F-43m (No. 216)
Symmetry-distinct sites (fractional):
Ni 0.000 0.000 0.000 x4
Mo 0.250 0.250 0.250 x4
Pt 0.000 0.000 0.500 x4
Pb 0.250 0.250 0.750 x4

---

(8)
Here is a relaxed structure of NiMoPtPb from OQMD. Energies are from PBE.

* crystal system: cubic
* raw total energy: -6.21 eV/atom
* magnetic moment: 0.97 μB/f.u.
* density: 13.85 Mg/m³

a b c (Å): 6.440 6.440 6.440
angles (deg): 90.00 90.00 90.00
Space group F-43m (No. 216)
Symmetry-distinct sites (fractional):
Ni 0.000 0.000 0.000 x4
Mo 0.000 0.000 0.500 x4
Pt 0.250 0.250 0.250 x4
Pb 0.250 0.250 0.750 x4

---

(9)
Here is a relaxed structure of ReNiMoPb from OQMD. Energies are from PBE.

* crystal system: cubic
* raw total energy: -7.46 eV/atom
* magnetic moment: 0.64 μB/f.u.
* density: 14.07 Mg/m³

a b c (Å): 6.372 6.372 6.372
angles (deg): 90.00 90.00 90.00
Space group F-43m (No. 216)
Symmetry-distinct sites (fractional):
Re 0.000 0.000 0.000 x4
Ni 0.250 0.250 0.750 x4
Mo 0.250 0.250 0.250 x4
Pb 0.000 0.000 0.500 x4

---

(10)
Here is a relaxed structure of TaNiMoPb from OQMD. Energies are from PBE.

* crystal system: cubic
* raw total energy: -7.58 eV/atom
* magnetic moment: 0.01 μB/f.u.
* density: 13.18 Mg/m³

a b c (Å): 6.491 6.491 6.491
angles (deg): 90.00 90.00 90.00
Space group F-43m (No. 216)
Symmetry-distinct sites (fractional):
Ta 0.000 0.000 0.000 x4
Ni 0.250 0.250 0.750 x4
Mo 0.250 0.250 0.250 x4
Pb 0.000 0.000 0.500 x4

---

(11)
Here is a relaxed structure of TcNiMoPb from OQMD. Energies are from PBE.

* crystal system: cubic
* raw total energy: -7.12 eV/atom
* magnetic moment: 0.76 μB/f.u.
* density: 11.84 Mg/m³

a b c (Å): 6.365 6.365 6.365
angles (deg): 90.00 90.00 90.00
Space group F-43m (No. 216)
Symmetry-distinct sites (fractional):
Tc 0.000 0.000 0.000 x4
Ni 0.000 0.000 0.500 x4
Mo 0.250 0.250 0.750 x4
Pb 0.250 0.250 0.250 x4

---

(12)
Here is a relaxed structure of YNiMoPb from OQMD. Energies are from PBE.

* crystal system: cubic
* raw total energy: -6.27 eV/atom
* magnetic moment: 0.99 μB/f.u.
* density: 9.60 Mg/m³

a b c (Å): 6.781 6.781 6.781
angles (deg): 90.00 90.00 90.00
Space group F-43m (No. 216)
Symmetry-distinct sites (fractional):
Y 0.000 0.000 0.000 x4
Ni 0.250 0.250 0.750 x4
Mo 0.250 0.250 0.250 x4
Pb 0.000 0.000 0.500 x4